This record from Alexandria describes an optimized crystal structure of Cs2BaCo3F12. The functional is PBE+U.

Computed properties:
- SG = R-3m
- calculated total energy (eV/atom) = -4.7832
- Fermi-level density of states (states/eV/f.u.) = 2.7

Cell lengths 7.4122, 7.4122, 7.4122 Å; angles 62.59, 62.59, 62.59 degrees
Closest atoms and distances in Å follow each position.
Fractional coordinates of all 18 atoms:
Cs (0.6083, 0.6083, 0.6083)  6 F 2.93-3.25
Cs (0.3917, 0.3917, 0.3917)  6 F 2.93-3.25
Ba (0.0000, 0.0000, 0.0000)  6 F 2.70
Co (0.5000, 0.0000, 0.0000)  6 F 1.87-2.02
Co (0.0000, 0.5000, 0.0000)  6 F 1.87-2.02
Co (0.0000, 0.0000, 0.5000)  6 F 1.87-2.02
F (0.2732, 0.2732, 0.9043)  2 Co 2.02
F (0.8782, 0.8782, 0.4308)  1 Co 1.87
F (0.4308, 0.8782, 0.8782)  1 Co 1.87
F (0.9043, 0.2732, 0.2732)  2 Co 2.02
F (0.8782, 0.4308, 0.8782)  1 Co 1.87
F (0.2732, 0.9043, 0.2732)  2 Co 2.02
F (0.7268, 0.7268, 0.0957)  2 Co 2.02
F (0.1218, 0.1218, 0.5692)  1 Co 1.87
F (0.5692, 0.1218, 0.1218)  1 Co 1.87
F (0.0957, 0.7268, 0.7268)  2 Co 2.02
F (0.1218, 0.5692, 0.1218)  1 Co 1.87
F (0.7268, 0.0957, 0.7268)  2 Co 2.02

=====

This record from Alexandria describes an optimized crystal structure of Cs2BaCoF6. The functional is PBE+U.

Computed properties:
- SG = I4/mmm
- calculated total energy (eV/atom) = -4.8625
- Fermi-level density of states (states/eV/f.u.) = 0.0

Cell lengths 6.5485, 6.5485, 6.6182 Å; angles 60.35, 60.35, 90.00 degrees
Closest atoms and distances in Å follow each position.
Fractional coordinates of all 10 atoms:
Cs (0.7500, 0.2500, 0.5000)  12 F 3.28-3.32
Cs (0.2500, 0.7500, 0.5000)  12 F 3.28-3.32
Co (0.5000, 0.5000, 0.0000)  6 F 2.05-2.16
Ba (0.0000, 0.0000, 0.0000)  6 F 2.57-2.58
F (0.2713, 0.2713, 0.4575)  1 Co 2.16
F (0.7287, 0.7287, 0.5425)  1 Co 2.16
F (0.2786, 0.2786, 0.0000)  1 Co 2.05
F (0.7214, 0.7214, 0.0000)  1 Co 2.05
F (0.7214, 0.2786, 0.0000)  1 Co 2.05
F (0.2786, 0.7214, 0.0000)  1 Co 2.05

=====

In the order shown, the computed theoretical density values come out to 4.41; 4.72 g/cm³.
In the order shown, the computed magnetic moment values come out to 6.988; 3.000 Bohr magnetons per cell.